The following is a PBE calculation of an optimized crystal structure of Rb4Ce3NpS8, from Alexandria via LeMat-Bulk.

Unit cell a=8.4260 b=9.0923 c=8.4264 alpha=117.61 beta=120.00 gamma=90.00
Each line ends with the local moment (μB).
Positions (direct):
Rb  0.5000  0.0000  0.0000  0.00
Rb  0.5000  0.0000  0.5000  0.00
Rb  0.0000  0.0000  0.0000  0.00
Rb  0.0000  0.0000  0.5000  0.00
Ce  0.5000  0.5000  0.0000  0.93
Ce  0.5000  0.5000  0.5000  0.93
Ce  0.0000  0.5000  0.5000  0.93
Np  0.0000  0.5000  0.0000  3.90
S  0.2293  0.6937  0.9645  -0.04
S  0.2293  0.6937  0.4586  -0.04
S  0.2678  0.3033  0.5355  -0.02
S  0.7352  0.6937  0.9645  -0.04
S  0.2648  0.3063  0.0355  -0.04
S  0.7322  0.6967  0.4645  -0.02
S  0.7707  0.3063  0.5414  -0.04
S  0.7707  0.3063  0.0355  -0.04

Results
- Size of the total moment: 7.0 μB per cell
- V: 29.52 Å³/atom
- DOS(E_F): 1.582 states/eV/atom
- E_tot: -94.24 eV/cell

The following is a PBE calculation of an optimized crystal structure of SbAsPdI2, from Alexandria via LeMat-Bulk.

Unit cell a=5.5963 b=5.5963 c=5.4638 alpha=90.00 beta=90.00 gamma=90.00
Positions (direct):
I  0.0000  0.5000  0.0000
I  0.5000  0.0000  0.0000
Sb  0.0000  0.0000  0.5000
As  0.0000  0.0000  0.0000
Pd  0.5000  0.5000  0.5000

Results
- Size of the total moment: 0.0 μB per cell
- V: 34.22 Å³/atom
- DOS(E_F): 1.041 states/eV/atom
- Relative energy among the computed polymorphs: 222.8 meV/atom
- E_tot: -13.31 eV/cell

The following is a PBE calculation of an optimized crystal structure of HoTm2Cr2C4, from Alexandria via LeMat-Bulk.

Unit cell a=3.3715 b=6.6794 c=5.9247 alpha=110.35 beta=90.00 gamma=104.62
Positions (direct):
Ho  0.0000  0.0000  0.0000
Tm  0.8648  0.7296  0.4569
Tm  0.1352  0.2704  0.5431
Cr  0.3214  0.6427  0.0171
Cr  0.6786  0.3573  0.9829
C  0.7831  0.5662  0.8033
C  0.2169  0.4338  0.1967
C  0.4618  0.9236  0.2577
C  0.5382  0.0764  0.7423

Results
- Calculated formation energy: -1.21 eV/f.u.
- Size of the total moment: 0.0 μB per cell
- V: 13.39 Å³/atom
- DOS(E_F): 0.735 states/eV/atom
- E_tot: -70.87 eV/cell

The following is a PBE calculation of an optimized crystal structure of YAs2Cl, from Alexandria via LeMat-Bulk.

Unit cell a=5.8079 b=5.8079 c=4.5772 alpha=78.64 beta=78.64 gamma=36.63
Positions (direct):
Y  0.2500  0.2500  0.2500
As  0.9874  0.9874  0.0718
As  0.5126  0.5126  0.4282
Cl  0.7500  0.7500  0.7500

Results
- Size of the total moment: 0.0 μB per cell
- V: 22.53 Å³/atom
- DOS(E_F): 0.168 states/eV/atom
- Relative energy among the computed polymorphs: 66.4 meV/atom
- E_tot: -21.41 eV/cell

The following is a PBE calculation of an optimized crystal structure of CuTc2, from Alexandria via LeMat-Bulk.

Unit cell a=5.1197 b=5.1197 c=6.3373 alpha=74.48 beta=74.48 gamma=31.44
Positions (direct):
Cu  0.9934  0.9934  0.0112
Cu  0.3376  0.3376  0.3325
Tc  0.6613  0.6613  0.6707
Tc  0.6193  0.6193  0.2723
Tc  0.9466  0.9466  0.6093
Tc  0.2751  0.2751  0.9375

Results
- Calculated formation energy: 0.66 eV/f.u.
- Size of the total moment: 0.0 μB per cell
- V: 13.87 Å³/atom
- DOS(E_F): 1.096 states/eV/atom
- Relative energy among the computed polymorphs: 130.3 meV/atom
- E_tot: -48.34 eV/cell

The following is a PBE calculation of an optimized crystal structure of GaSb2Pt, from Alexandria via LeMat-Bulk.

Unit cell a=3.1439 b=3.1439 c=10.8873 alpha=81.70 beta=81.70 gamma=60.00
Positions (direct):
Sb  0.0810  0.0810  0.7569
Sb  0.9190  0.9190  0.2431
Ga  0.5000  0.5000  0.5000
Pt  0.0000  0.0000  0.0000

Results
- Size of the total moment: 0.0 μB per cell
- V: 22.97 Å³/atom
- DOS(E_F): 0.683 states/eV/atom
- E_tot: -16.62 eV/cell

The following is a PBE calculation of an optimized crystal structure of Be4InSe, from Alexandria via LeMat-Bulk.

Unit cell a=4.8261 b=4.8261 c=4.8261 alpha=60.00 beta=60.00 gamma=60.00
Positions (direct):
Be  0.8678  0.3774  0.3774
Be  0.3774  0.3774  0.8678
Be  0.3774  0.8678  0.3774
Be  0.3774  0.3774  0.3774
In  0.7500  0.7500  0.7500
Se  0.0000  0.0000  0.0000

Results
- Size of the total moment: 0.0 μB per cell
- V: 13.25 Å³/atom
- DOS(E_F): 0.274 states/eV/atom
- E_tot: -18.02 eV/cell

The following is a PBE calculation of an optimized crystal structure of Ag2BBr6, from Alexandria via LeMat-Bulk.

Unit cell a=7.8003 b=9.9084 c=9.9084 alpha=81.29 beta=67.09 gamma=67.09
Positions (direct):
Ag  0.9848  0.6816  0.8091
Ag  0.5152  0.1909  0.3184
Ag  0.0152  0.3184  0.1909
Ag  0.4848  0.8091  0.6816
B  0.2500  0.2457  0.7543
B  0.7500  0.7543  0.2457
Br  0.1659  0.8475  0.6397
Br  0.3341  0.3603  0.1525
Br  0.8341  0.1525  0.3603
Br  0.6659  0.6397  0.8475
Br  0.8222  0.7515  0.4224
Br  0.6778  0.5776  0.2485
Br  0.1778  0.2485  0.5776
Br  0.3222  0.4224  0.7515
Br  0.9939  0.7566  0.0687
Br  0.5061  0.9313  0.2434
Br  0.0061  0.2434  0.9313
Br  0.4939  0.0687  0.7566

Results
- Size of the total moment: 0.0 μB per cell
- V: 36.10 Å³/atom
- DOS(E_F): 1.176 states/eV/atom
- Relative energy among the computed polymorphs: 0.0 meV/atom
- E_tot: -50.27 eV/cell

Repeat the eighth record exactly.
The following is a PBE calculation of an optimized crystal structure of Ag2BBr6, from Alexandria via LeMat-Bulk.

Unit cell a=7.8003 b=9.9084 c=9.9084 alpha=81.29 beta=67.09 gamma=67.09
Positions (direct):
Ag  0.9848  0.6816  0.8091
Ag  0.5152  0.1909  0.3184
Ag  0.0152  0.3184  0.1909
Ag  0.4848  0.8091  0.6816
B  0.2500  0.2457  0.7543
B  0.7500  0.7543  0.2457
Br  0.1659  0.8475  0.6397
Br  0.3341  0.3603  0.1525
Br  0.8341  0.1525  0.3603
Br  0.6659  0.6397  0.8475
Br  0.8222  0.7515  0.4224
Br  0.6778  0.5776  0.2485
Br  0.1778  0.2485  0.5776
Br  0.3222  0.4224  0.7515
Br  0.9939  0.7566  0.0687
Br  0.5061  0.9313  0.2434
Br  0.0061  0.2434  0.9313
Br  0.4939  0.0687  0.7566

Results
- Size of the total moment: 0.0 μB per cell
- V: 36.10 Å³/atom
- DOS(E_F): 1.176 states/eV/atom
- Relative energy among the computed polymorphs: 0.0 meV/atom
- E_tot: -50.27 eV/cell

> The lowest V belongs to which entry?

Be4InSe

> Among the records above, which one has the lowest V?

Be4InSe